This record from Alexandria via LeMat-Bulk describes CuTeW after structural relaxation. The functional is PBE.

Energy relative to the elements, uncorrected, kJ per mole of atoms: 53
Crystal system: tetragonal
Relative energy among the computed polymorphs, kJ/mol of formula units: 0
Mass density, g cm⁻³: 12.4

Geometry as CIF:
```
data_CuTeW
_chemical_formula_sum 'Cu2 Te2 W2'
_cell_length_a 3.373
_cell_length_b 3.373
_cell_length_c 8.835
_cell_angle_alpha 90.00
_cell_angle_beta 90.00
_cell_angle_gamma 90.00
_space_group_name_H-M_alt 'I 4 m m'
_space_group_IT_number 107
_space_group_name_Hall 'I 4 -2'
loop_
_atom_site_label
_atom_site_type_symbol
_atom_site_fract_x
_atom_site_fract_y
_atom_site_fract_z
Cu1 Cu 0.000 0.000 0.000
Te1 Te 0.000 0.000 0.672
W1 W 0.000 0.000 0.341
```